# 1
Computed, not measured: a relaxed InN2O crystal at the PBE level of DFT.

Calculated values
density of states at the Fermi level = 0.21 states/eV/atom
distance to the lowest polymorph of the same formula = 0.0000 eV/atom
symmetry = P1
formation energy without anion corrections = -0.389 eV/atom

POSCAR file:
```
InN2O
1.0
3.515 0.003 0.753
1.790 3.120 0.225
-0.200 0.411 8.942
O In N
1 1 2
Direct
0.651 0.097 0.234
0.348 0.763 0.173
0.861 0.200 0.722
0.839 0.366 0.610
```

***

# 2
Computed, not measured: a relaxed ZrNb2Ru crystal at the PBE level of DFT.

Calculated values
ΔE_f = 1.03 eV per formula unit
density of states at the Fermi level = 0.86 states/eV/atom
symmetry = I-42d

POSCAR file:
```
ZrNb2Ru
1.0
-2.878 6.789 1.610
-6.454 -3.252 2.176
-3.700 1.569 4.458
Nb Zr Ru
4 2 2
Direct
0.875 0.914 0.750
0.375 0.336 0.750
0.086 0.625 0.250
0.664 0.125 0.250
0.500 0.500 0.000
0.250 0.750 0.500
0.000 0.000 0.000
0.750 0.250 0.500
```

***

# 3
Computed, not measured: a relaxed Ce8Sb2Ru crystal at the PBE level of DFT.

Calculated values
density of states at the Fermi level = 2.49 states/eV/atom
symmetry = Immm
formation energy without anion corrections = -0.427 eV/atom

POSCAR file:
```
Ce8Sb2Ru
1.0
5.597 0.000 0.000
0.000 6.980 -0.239
-2.799 -3.245 7.324
Ce Sb Ru
8 2 1
Direct
0.141 0.141 0.282
0.859 0.859 0.718
0.000 0.733 0.000
0.000 0.267 0.000
0.625 0.415 0.251
0.375 0.585 0.749
0.375 0.164 0.749
0.625 0.836 0.251
0.803 0.303 0.606
0.197 0.697 0.394
0.500 0.000 0.000
```